VZn2O4: relaxed, PBE with a Hubbard U.

The value obtained for the total energy is -165.69 eV/cell. For the energy above the most stable polymorph in this dataset, the calculation gives 2 meV/atom. As for the density of states at the Fermi level: 0.00 states/eV/cell. For the spin magnetization, the calculation gives 1.0 μB per formula unit.

The space group is Imma (No. 74) and the conventional cell measures 6.003, 6.063 and 8.553 Å, with angles of 90.00, 90.00 and 90.00 degrees. Symmetry generates all atoms from V at (0.000, 0.000, 0.000), Zn at (0.000, 0.250, 0.366), Zn at (0.250, 0.250, 0.750), O at (0.000, 0.012, 0.777) and O at (0.222, 0.250, 0.004).